# 1
# Sc2ReSnPt

An optimized crystal structure of Sc2ReSnPt (PBE, Alexandria).

Computed properties:
The formation energy is 1311 meV per atom. The value obtained for the density of states at the Fermi level is 5.51 states/eV per cell. Its total DFT energy (no corrections) is -5.72 eV/atom. The value obtained for the spin magnetization is 0.0 μB/cell. The volume is 25.4 A^3/atom.

abc: 5.181 5.181 4.738
angles: 90.00 90.00 90.00
Element x y z (fractional)
Sn 0.000 0.000 0.000
Sc 0.500 0.000 0.000
Sc 0.000 0.500 0.000
Re 0.500 0.500 0.500
Pt 0.000 0.000 0.500

# 2
# LaTbPr2Tm

An optimized crystal structure of LaTbPr2Tm (PBE, Alexandria).

Computed properties:
The formation energy is 267 meV per atom. The value obtained for the density of states at the Fermi level is 13.56 states/eV per cell. Its total DFT energy (no corrections) is -4.45 eV/atom. The value obtained for the spin magnetization is 0.0 μB/cell. The volume is 36.0 A^3/atom.

abc: 6.438 9.212 6.452
angles: 109.76 90.00 90.00
Element x y z (fractional)
La 0.000 0.000 0.000
La 0.000 0.000 0.500
Tb 0.165 0.500 0.750
Tb 0.835 0.500 0.250
Tm 0.496 0.000 0.750
Tm 0.504 0.000 0.250
Pr 0.315 0.683 0.340
Pr 0.685 0.683 0.840
Pr 0.685 0.317 0.660
Pr 0.315 0.317 0.160

# 3
# Ac2SbAsPt6

An optimized crystal structure of Ac2SbAsPt6 (PBE, Alexandria).

Computed properties:
As for the formation energy (no corrections): -790.1 meV per atom. The value obtained for the density of states at the Fermi level is 6.45 states/eV per cell. Its total DFT energy (no corrections) is -6.11 eV/atom. The value obtained for the spin magnetization is 0.0 μB/cell. The volume is 22.6 A^3/atom.

abc: 7.073 6.805 8.714
angles: 52.48 49.74 83.36
Element x y z (fractional)
Ac 0.253 0.748 0.464
Ac 0.747 0.252 0.536
Pt 0.250 0.244 0.510
Pt 0.247 0.752 0.859
Pt 0.243 0.249 0.998
Pt 0.753 0.248 0.141
Pt 0.750 0.756 0.490
Pt 0.757 0.751 0.002
Sb 0.500 0.500 0.000
As 0.000 0.000 0.000

# 4
# CeTmLuTl

An optimized crystal structure of CeTmLuTl (PBE, Alexandria).

Computed properties:
The formation energy is 57 meV per atom. The value obtained for the density of states at the Fermi level is 6.56 states/eV per cell. Its total DFT energy (no corrections) is -4.27 eV/atom. The value obtained for the spin magnetization is 0.8 μB/cell. The volume is 26.9 A^3/atom.

abc: 5.340 5.340 5.340
angles: 60.00 60.00 60.00
Site moments in Bohr magnetons follow the coordinates.
Element x y z (fractional)
Lu 0.500 0.500 0.500  0.13
Ce 0.750 0.750 0.750  0.29
Tm 0.000 0.000 0.000  0.17
Tl 0.250 0.250 0.250  -0.01

# 5
# UPtPbO6

An optimized crystal structure of UPtPbO6 (PBE, Alexandria).

Computed properties:
As for the formation energy (no corrections): -1799.7 meV per atom. Its total DFT energy (no corrections) is -7.44 eV/atom. The value obtained for the spin magnetization is 0.0 μB/cell. The volume is 15.7 A^3/atom.

abc: 5.416 5.416 11.143
angles: 90.00 90.00 120.00
Element x y z (fractional)
O 0.008 0.643 0.853
O 0.365 0.008 0.147
O 0.365 0.357 0.353
O 0.635 0.643 0.647
O 0.357 0.365 0.853
O 0.635 0.992 0.853
O 0.992 0.357 0.147
O 0.992 0.635 0.353
O 0.643 0.008 0.353
O 0.643 0.635 0.147
O 0.357 0.992 0.647
O 0.008 0.365 0.647
Pb 0.000 0.000 0.000
Pb 0.000 0.000 0.500
Pt 0.667 0.333 0.250
Pt 0.333 0.667 0.750
U 0.333 0.667 0.250
U 0.667 0.333 0.750

# 6
# Sc2VReN

An optimized crystal structure of Sc2VReN (PBE, Alexandria).

Computed properties:
As for the formation energy (no corrections): 797.6 meV per atom. The value obtained for the density of states at the Fermi level is 3.95 states/eV per cell. Its total DFT energy (no corrections) is -7.71 eV/atom. The value obtained for the spin magnetization is 0.0 μB/cell. For the energy above the most stable polymorph in this dataset, the calculation gives 0.0000 eV/atom. The volume is 17.9 A^3/atom.

abc: 5.005 3.582 5.005
angles: 90.00 90.00 90.00
Element x y z (fractional)
Re 0.500 0.500 0.500
Sc 0.000 0.000 0.500
Sc 0.500 0.000 0.000
V 0.000 0.000 0.000
N 0.000 0.500 0.000

# 7
# SrLa7Pm4

An optimized crystal structure of SrLa7Pm4 (PBE, Alexandria).

Computed properties:
The formation energy is 48 meV per atom. The value obtained for the density of states at the Fermi level is 18.03 states/eV per cell. Its total DFT energy (no corrections) is -4.55 eV/atom. The value obtained for the spin magnetization is 0.0 μB/cell. The volume is 37.3 A^3/atom.

abc: 7.571 6.536 11.952
angles: 79.89 50.96 90.20
Element x y z (fractional)
Pm 0.401 0.718 0.336
Pm 0.599 0.282 0.664
Pm 0.831 0.782 0.671
Pm 0.169 0.218 0.329
Sr 0.000 0.000 0.000
La 0.078 0.285 0.662
La 0.265 0.500 0.998
La 0.500 0.000 0.000
La 0.347 0.769 0.654
La 0.735 0.500 0.002
La 0.653 0.231 0.346
La 0.922 0.715 0.338

# 8
# CsSrCuAs2

An optimized crystal structure of CsSrCuAs2 (PBE, Alexandria).

Computed properties:
The formation energy is 782 meV per atom. The value obtained for the density of states at the Fermi level is 5.34 states/eV per cell. Its total DFT energy (no corrections) is -2.40 eV/atom. The value obtained for the spin magnetization is 0.0 μB/cell. The volume is 44.4 A^3/atom.

abc: 5.736 6.749 5.736
angles: 90.00 90.00 90.00
Element x y z (fractional)
Cs 0.000 0.500 0.000
Cu 0.500 0.500 0.500
Sr 0.000 0.000 0.000
As 0.500 0.000 0.000
As 0.000 0.000 0.500

# 9
# Tb2U2Ni15

An optimized crystal structure of Tb2U2Ni15 (PBE, Alexandria).

Computed properties:
The formation energy is -259 meV per atom. The value obtained for the density of states at the Fermi level is 25.33 states/eV per cell. Its total DFT energy (no corrections) is -6.50 eV/atom. The value obtained for the spin magnetization is 2.2 μB/cell. The volume is 13.7 A^3/atom.

abc: 6.456 6.456 6.456
angles: 81.57 81.57 81.57
Site moments in Bohr magnetons follow the coordinates.
Element x y z (fractional)
U 0.098 0.098 0.098  0.78
U 0.902 0.902 0.902  0.78
Ni 0.657 0.657 0.161  0.03
Ni 0.000 0.000 0.500  0.00
Ni 0.657 0.161 0.657  0.03
Ni 0.314 0.686 0.000  0.09
Ni 0.686 0.000 0.314  0.09
Ni 0.343 0.839 0.343  0.03
Ni 0.000 0.500 0.000  0.00
Ni 0.686 0.314 0.000  0.09
Ni 0.343 0.343 0.839  0.03
Ni 0.839 0.343 0.343  0.03
Ni 0.000 0.314 0.686  0.09
Ni 0.500 0.000 0.000  0.00
Ni 0.161 0.657 0.657  0.03
Ni 0.314 0.000 0.686  0.09
Ni 0.000 0.686 0.314  0.09
Tb 0.359 0.359 0.359  -0.01
Tb 0.641 0.641 0.641  -0.01

# 10
# RbCoTe2I

An optimized crystal structure of RbCoTe2I (PBE, Alexandria).

Computed properties:
As for the formation energy (no corrections): -235.8 meV per atom. The value obtained for the density of states at the Fermi level is 3.89 states/eV per cell. Its total DFT energy (no corrections) is -3.42 eV/atom. The value obtained for the spin magnetization is 2.6 μB/cell. The volume is 33.9 A^3/atom.

abc: 5.062 5.062 6.620
angles: 90.00 90.00 90.00
Site moments in Bohr magnetons follow the coordinates.
Element x y z (fractional)
Te 0.000 0.500 0.000  0.19
Te 0.500 0.000 0.000  0.19
Co 0.000 0.000 0.000  1.68
I 0.000 0.000 0.500  0.12
Rb 0.500 0.500 0.500  0.00

# 11
# PW3Se

An optimized crystal structure of PW3Se (PBE, Alexandria).

Computed properties:
As for the formation energy (no corrections): 1157.2 meV per atom. The value obtained for the density of states at the Fermi level is 4.38 states/eV per cell. Its total DFT energy (no corrections) is -8.39 eV/atom. The value obtained for the spin magnetization is 0.0 μB/cell. For the energy above the most stable polymorph in this dataset, the calculation gives 0.0000 eV/atom. The volume is 18.3 A^3/atom.

abc: 4.506 4.506 4.506
angles: 90.00 90.00 90.00
Element x y z (fractional)
Se 0.500 0.500 0.500
W 0.500 0.000 0.000
W 0.000 0.500 0.000
W 0.000 0.000 0.500
P 0.000 0.000 0.000

# 12
# Tm3AsC

An optimized crystal structure of Tm3AsC (PBE, Alexandria).

Computed properties:
The formation energy is -576 meV per atom. The value obtained for the density of states at the Fermi level is 5.96 states/eV per cell. Its total DFT energy (no corrections) is -6.03 eV/atom. The value obtained for the spin magnetization is 2.2 μB/cell. The volume is 23.3 A^3/atom.

abc: 3.949 7.969 7.758
angles: 80.39 90.00 104.35
Site moments in Bohr magnetons follow the coordinates.
Element x y z (fractional)
Tm 0.846 0.691 0.454  0.40
Tm 0.319 0.638 0.127  0.21
Tm 0.681 0.362 0.873  0.21
Tm 0.953 0.905 0.831  0.16
Tm 0.047 0.095 0.169  0.16
Tm 0.154 0.309 0.546  0.40
C 0.901 0.802 0.141  0.00
C 0.099 0.198 0.859  0.00
As 0.329 0.657 0.741  0.01
As 0.671 0.343 0.259  0.01

# 13
# MgZr4Tl

An optimized crystal structure of MgZr4Tl (PBE, Alexandria).

Computed properties:
The formation energy is 266 meV per atom. The value obtained for the density of states at the Fermi level is 6.65 states/eV per cell. Its total DFT energy (no corrections) is -6.09 eV/atom. The value obtained for the spin magnetization is 0.0 μB/cell. The volume is 23.7 A^3/atom.

abc: 5.859 5.859 5.859
angles: 60.00 60.00 60.00
Element x y z (fractional)
Zr 0.376 0.872 0.376
Zr 0.376 0.376 0.376
Zr 0.872 0.376 0.376
Zr 0.376 0.376 0.872
Tl 0.000 0.000 0.000
Mg 0.750 0.750 0.750

# 14
# CePmHo4Tm2

An optimized crystal structure of CePmHo4Tm2 (PBE, Alexandria).

Computed properties:
The formation energy is 49 meV per atom. The value obtained for the density of states at the Fermi level is 13.45 states/eV per cell. Its total DFT energy (no corrections) is -4.69 eV/atom. The value obtained for the spin magnetization is 1.0 μB/cell. The volume is 31.2 A^3/atom.

abc: 5.008 4.996 11.144
angles: 63.36 90.00 90.00
Site moments in Bohr magnetons follow the coordinates.
Element x y z (fractional)
Tm 0.000 0.000 0.000  -0.07
Tm 0.500 0.000 0.500  0.09
Ho 0.000 0.248 0.252  0.04
Ho 0.500 0.253 0.747  0.04
Ho 0.000 0.752 0.748  0.04
Ho 0.500 0.747 0.253  0.04
Ce 0.000 0.500 0.500  0.74
Pm 0.500 0.500 0.000  -0.04